Compound: AcFe3Si2
Source: Alexandria via LeMat-Bulk
Functional: PBE-GGA
Structure: relaxed

Cell lengths 3.9096, 7.8193, 7.3854 Å; angles 113.51, 90.00, 104.48 degrees
Closest atoms and distances in Å follow each position.
Element x y z (fractional)
Ac: 0.8511 0.7022 0.9384  7 Si 3.20-3.27, 7 Fe 3.37-3.53
Ac: 0.1489 0.2978 0.0616  7 Si 3.20-3.27, 7 Fe 3.37-3.53
Fe: 0.3110 0.6220 0.5399  4 Si 2.39-2.44, 3 Fe 2.43-2.59
Fe: 0.9619 0.9238 0.6098  3 Si 2.27-2.32, 3 Fe 2.35-2.52
Fe: 0.5804 0.1608 0.6272  3 Si 2.35-2.47, 6 Fe 2.38-2.62
Fe: 0.4196 0.8392 0.3728  3 Si 2.35-2.47, 6 Fe 2.38-2.62
Fe: 0.0381 0.0762 0.3902  3 Si 2.27-2.32, 3 Fe 2.35-2.52
Fe: 0.6890 0.3780 0.4601  4 Si 2.39-2.44, 3 Fe 2.43-2.59
Si: 0.4747 0.9493 0.7873  4 Fe 2.32-2.40
Si: 0.5253 0.0507 0.2127  4 Fe 2.32-2.40
Si: 0.8155 0.6310 0.3466  6 Fe 2.27-2.47
Si: 0.1845 0.3690 0.6534  6 Fe 2.27-2.47

Computed properties:
Raw formation energy = -377 meV/atom
SG = No. 12

Compound: Ac12Fe5Si3
Source: Alexandria via LeMat-Bulk
Functional: PBE-GGA
Structure: relaxed

Cell lengths 15.0735, 15.0735, 15.0735 Å; angles 109.47, 109.47, 109.47 degrees
Closest atoms and distances in Å follow each position.
Element x y z (fractional)
Ac: 0.7073 0.1235 0.0268  2 Fe 2.58-2.86
Ac: 0.3195 0.5268 0.4033  2 Fe 2.58-2.86
Ac: 0.9732 0.3765 0.2927  2 Fe 2.58-2.86
Ac: 0.5268 0.2073 0.1235  2 Fe 2.58-2.86
Ac: 0.5838 0.7073 0.6805  2 Fe 2.58-2.86
Ac: 0.9732 0.5967 0.1805  2 Fe 2.58-2.86
Ac: 0.3195 0.7927 0.4162  2 Fe 2.58-2.86
Ac: 0.0967 0.9162 0.1235  2 Fe 2.58-2.86
Ac: 0.5967 0.9732 0.6805  2 Fe 2.58-2.86
Ac: 0.7073 0.5838 0.1805  2 Fe 2.58-2.86
Ac: 0.7927 0.4732 0.3765  2 Fe 2.58-2.86
Ac: 0.8195 0.9033 0.0268  2 Fe 2.58-2.86
Ac: 0.1235 0.7073 0.5268  2 Fe 2.58-2.86
Ac: 0.3765 0.4033 0.0838  2 Fe 2.58-2.86
Ac: 0.0838 0.9033 0.3765  2 Fe 2.58-2.86
Ac: 0.4162 0.1235 0.5967  2 Fe 2.58-2.86
Ac: 0.0838 0.1805 0.2073  2 Fe 2.58-2.86
Ac: 0.4732 0.6805 0.0967  2 Fe 2.58-2.86
Ac: 0.8195 0.9162 0.2927  2 Fe 2.58-2.86
Ac: 0.1235 0.4162 0.0967  2 Fe 2.58-2.86
Ac: 0.3765 0.9732 0.7927  2 Fe 2.58-2.86
Ac: 0.5967 0.6235 0.4162  2 Fe 2.58-2.86
Ac: 0.9033 0.8195 0.5268  2 Fe 2.58-2.86
Ac: 0.7927 0.3195 0.9162  2 Fe 2.58-2.86
Ac: 0.4033 0.3765 0.5838  2 Fe 2.58-2.86
Ac: 0.0967 0.1805 0.4732  2 Fe 2.58-2.86
Ac: 0.2073 0.6805 0.0838  2 Fe 2.58-2.86
Ac: 0.1805 0.0838 0.7073  2 Fe 2.58-2.86
Ac: 0.6235 0.0268 0.2073  2 Fe 2.58-2.86
Ac: 0.8765 0.5838 0.9033  2 Fe 2.58-2.86
Ac: 0.5268 0.3195 0.9033  2 Fe 2.58-2.86
Ac: 0.5838 0.8765 0.4033  2 Fe 2.58-2.86
Ac: 0.9162 0.8195 0.7927  2 Fe 2.58-2.86
Ac: 0.9162 0.0967 0.6235  2 Fe 2.58-2.86
Ac: 0.8765 0.2927 0.4732  2 Fe 2.58-2.86
Ac: 0.1805 0.0967 0.9732  2 Fe 2.58-2.86
Ac: 0.6235 0.5967 0.9162  2 Fe 2.58-2.86
Ac: 0.4033 0.0268 0.3195  2 Fe 2.58-2.86
Ac: 0.2927 0.4162 0.8195  2 Fe 2.58-2.86
Ac: 0.2073 0.5268 0.6235  2 Fe 2.58-2.86
Ac: 0.9033 0.0838 0.8765  2 Fe 2.58-2.86
Ac: 0.6805 0.2073 0.5838  2 Fe 2.58-2.86
Ac: 0.4732 0.7927 0.8765  2 Fe 2.58-2.86
Ac: 0.0268 0.4033 0.8195  2 Fe 2.58-2.86
Ac: 0.4162 0.2927 0.3195  2 Fe 2.58-2.86
Ac: 0.0268 0.6235 0.7073  2 Fe 2.58-2.86
Ac: 0.6805 0.4732 0.5967  2 Fe 2.58-2.86
Ac: 0.2927 0.8765 0.9732  2 Fe 2.58-2.86
Si: 0.7500 0.3750 0.1250  8 Ac 3.31-3.46
Si: 0.8750 0.7500 0.1250  8 Ac 3.31-3.46
Si: 0.3750 0.7500 0.6250  8 Ac 3.31-3.46
Si: 0.2500 0.1250 0.3750  8 Ac 3.31-3.46
Si: 0.8750 0.1250 0.2500  8 Ac 3.31-3.46
Si: 0.3750 0.6250 0.2500  8 Ac 3.31-3.46
Si: 0.6250 0.3750 0.7500  8 Ac 3.31-3.46
Si: 0.1250 0.8750 0.7500  8 Ac 3.31-3.46
Si: 0.7500 0.8750 0.6250  8 Ac 3.31-3.46
Si: 0.6250 0.2500 0.3750  8 Ac 3.31-3.46
Si: 0.1250 0.2500 0.8750  8 Ac 3.31-3.46
Si: 0.2500 0.6250 0.8750  8 Ac 3.31-3.46
Fe: 0.1250 0.3750 0.2500  4 Ac 2.58
Fe: 0.0000 0.5000 0.0000  6 Ac 2.86
Fe: 0.0000 0.0000 0.0000  6 Ac 2.86
Fe: 0.3750 0.2500 0.1250  4 Ac 2.58
Fe: 0.5000 0.0000 0.5000  6 Ac 2.86
Fe: 0.5000 0.5000 0.0000  6 Ac 2.86
Fe: 0.1250 0.7500 0.3750  4 Ac 2.58
Fe: 0.7500 0.1250 0.8750  4 Ac 2.58
Fe: 0.7500 0.6250 0.3750  4 Ac 2.58
Fe: 0.3750 0.1250 0.7500  4 Ac 2.58
Fe: 0.6250 0.8750 0.2500  4 Ac 2.58
Fe: 0.5000 0.5000 0.5000  6 Ac 2.86
Fe: 0.5000 0.0000 0.0000  6 Ac 2.86
Fe: 0.0000 0.0000 0.5000  6 Ac 2.86
Fe: 0.2500 0.3750 0.6250  4 Ac 2.58
Fe: 0.2500 0.8750 0.1250  4 Ac 2.58
Fe: 0.0000 0.5000 0.5000  6 Ac 2.86
Fe: 0.8750 0.2500 0.6250  4 Ac 2.58
Fe: 0.6250 0.7500 0.8750  4 Ac 2.58
Fe: 0.8750 0.6250 0.7500  4 Ac 2.58

Computed properties:
Raw formation energy = 202 meV/atom
SG = No. 230